1.
A plane-wave DFT calculation with PBE was carried out for a relaxed AcIn2Au crystal.

Excess energy over the best structure of this formula in the dataset (eV per atom): 0.262
Density of states at the Fermi level (states/eV/f.u.): 1.420
Formation enthalpy at 0 K (meV/atom): -286
Calculated density (g/cm3): 9.99

The structure in CIF format:
```
data_AcIn2Au
_chemical_formula_sum 'Ac4 In8 Au4'
_cell_length_a 7.5751
_cell_length_b 7.5751
_cell_length_c 7.5751
_cell_angle_alpha 90.00
_cell_angle_beta 90.00
_cell_angle_gamma 90.00
_space_group_name_H-M_alt 'F m -3 m'
_space_group_IT_number 225
_space_group_name_Hall '-F 4 2 3'
loop_
_atom_site_label
_atom_site_type_symbol
_atom_site_fract_x
_atom_site_fract_y
_atom_site_fract_z
_atom_site_occupancy
Ac1 Ac 0.0000 0.0000 0.0000 1
In1 In 0.2500 0.2500 0.2500 1
Au1 Au 0.0000 0.0000 0.5000 1
```

=====

2.
A plane-wave DFT calculation with PBE was carried out for a relaxed La2Dy8Tm crystal.

Excess energy over the best structure of this formula in the dataset (eV per atom): 0.000
Density of states at the Fermi level (states/eV/f.u.): 16.810
Formation enthalpy at 0 K (meV/atom): 29
Calculated density (g/cm3): 8.15

The structure in CIF format:
```
data_La2Dy8Tm
_chemical_formula_sum 'La4 Dy16 Tm2'
_cell_length_a 18.2365
_cell_length_b 5.0621
_cell_length_c 7.9954
_cell_angle_alpha 90.00
_cell_angle_beta 105.30
_cell_angle_gamma 90.00
_space_group_name_H-M_alt 'C 1 2/m 1'
_space_group_IT_number 12
loop_
_space_group_symop_operation_xyz
'x,y,z'
'-x,-y,-z'
'-x,y,-z'
'x,-y,z'
'x+1/2,y+1/2,z'
'-x+1/2,-y+1/2,-z'
'-x+1/2,y+1/2,-z'
'x+1/2,-y+1/2,z'
loop_
_atom_site_label
_atom_site_type_symbol
_atom_site_fract_x
_atom_site_fract_y
_atom_site_fract_z
_atom_site_occupancy
La1 La 0.2268 0.0000 0.1371 1
Dy1 Dy 0.0435 0.0000 0.2282 1
Dy2 Dy 0.0888 0.5000 0.9520 1
Dy3 Dy 0.1341 0.0000 0.6748 1
Dy4 Dy 0.1803 0.5000 0.4069 1
Tm1 Tm 0.0000 0.5000 0.5000 1
```